Compound: Sc2TeRh
Source: Alexandria via LeMat-Bulk
Functional: PBE-GGA
Structure: relaxed

Cell lengths 3.980, 3.980, 9.963 Å; angles 90.00, 90.00, 90.00 degrees
Fractional positions:
Sc (0.000, 0.000, 0.000)
Sc (0.000, 0.500, 0.250)
Sc (0.500, 0.000, 0.750)
Sc (0.500, 0.500, 0.500)
Te (0.000, 0.500, 0.750)
Te (0.500, 0.000, 0.250)
Rh (0.000, 0.000, 0.500)
Rh (0.500, 0.500, 0.000)

Summary:
formation energy (no corrections)	-746	meV per atom
total magnetization	0.0	μB per formula unit
E	-52.281	eV per cell
space-group type	I-4m2 (119)

Compound: Sc2TeRh
Source: Alexandria via LeMat-Bulk
Functional: PBE-GGA
Structure: relaxed

Cell lengths 3.362, 3.362, 27.301 Å; angles 90.00, 90.00, 120.00 degrees
Fractional positions:
Sc (0.000, 0.000, 0.000)
Sc (0.000, 0.000, 0.231)
Sc (0.333, 0.667, 0.667)
Sc (0.333, 0.667, 0.898)
Sc (0.667, 0.333, 0.333)
Sc (0.667, 0.333, 0.564)
Te (0.000, 0.000, 0.751)
Te (0.333, 0.667, 0.417)
Te (0.667, 0.333, 0.084)
Rh (0.000, 0.000, 0.501)
Rh (0.333, 0.667, 0.168)
Rh (0.667, 0.333, 0.834)

Summary:
formation energy (no corrections)	-248	meV per atom
total magnetization	0.6	μB per formula unit
E	-72.448	eV per cell
space-group type	R3m (160)

Compound: ScTe4Rh
Source: Alexandria via LeMat-Bulk
Functional: PBE-GGA
Structure: relaxed

Cell lengths 6.127, 6.127, 6.127 Å; angles 60.00, 60.00, 60.00 degrees
Fractional positions:
Sc (0.000, 0.000, 0.000)
Te (0.127, 0.624, 0.624)
Te (0.624, 0.127, 0.624)
Te (0.624, 0.624, 0.127)
Te (0.624, 0.624, 0.624)
Rh (0.250, 0.250, 0.250)

Summary:
formation energy (no corrections)	631	meV per atom
total magnetization	0.0	μB per formula unit
E	-22.462	eV per cell
space-group type	F-43m (216)

Compound: ScTeRh2
Source: Alexandria via LeMat-Bulk
Functional: PBE-GGA
Structure: relaxed

Cell lengths 3.206, 3.206, 24.953 Å; angles 90.00, 90.00, 120.00 degrees
Fractional positions:
Sc (0.000, 0.000, 0.000)
Sc (0.333, 0.667, 0.667)
Sc (0.667, 0.333, 0.333)
Te (0.000, 0.000, 0.500)
Te (0.333, 0.667, 0.167)
Te (0.667, 0.333, 0.833)
Rh (0.000, 0.000, 0.252)
Rh (0.000, 0.000, 0.748)
Rh (0.333, 0.667, 0.414)
Rh (0.333, 0.667, 0.919)
Rh (0.667, 0.333, 0.081)
Rh (0.667, 0.333, 0.586)

Summary:
formation energy (no corrections)	-284	meV per atom
total magnetization	0.0	μB per formula unit
E	-75.937	eV per cell
space-group type	R-3m (166)

Compound: ScTeRh3
Source: Alexandria via LeMat-Bulk
Functional: PBE-GGA
Structure: relaxed

Cell lengths 4.793, 4.793, 4.793 Å; angles 90.00, 90.00, 90.00 degrees
Fractional positions:
Sc (0.000, 0.000, 0.000)
Te (0.500, 0.500, 0.500)
Rh (0.000, 0.500, 0.500)
Rh (0.500, 0.000, 0.500)
Rh (0.500, 0.500, 0.000)

Summary:
formation energy (no corrections)	347	meV per atom
total magnetization	0.0	μB per formula unit
E	-29.792	eV per cell
space-group type	Pm-3m (221)

Compound: ScTeRh2
Source: Alexandria via LeMat-Bulk
Functional: PBE-GGA
Structure: relaxed

Cell lengths 4.158, 4.158, 7.903 Å; angles 90.00, 90.00, 90.00 degrees
Fractional positions:
Sc (0.000, 0.000, 0.000)
Sc (0.500, 0.500, 0.500)
Te (0.000, 0.000, 0.500)
Te (0.500, 0.500, 0.000)
Rh (0.000, 0.500, 0.250)
Rh (0.000, 0.500, 0.750)
Rh (0.500, 0.000, 0.250)
Rh (0.500, 0.000, 0.750)

Summary:
formation energy (no corrections)	-657	meV per atom
total magnetization	0.0	μB per formula unit
E	-53.608	eV per cell
space-group type	I4/mmm (139)